1.
NiTe2S2 | PBE | relaxed

Cell lengths 6.2964, 6.2964, 5.4595 Å; angles 90.00, 90.00, 90.00 degrees
Space group P4/mbm (No. 127)
Symmetry-distinct sites (fractional):
Ni: 0.0000 0.0000 0.0000 [2 per cell]
Te: 0.2260 0.2740 0.5000 [4 per cell]
S: 0.1900 0.3100 0.0000 [4 per cell]

Results
- volume (Å³/f.u.) = 108.22
- total DFT energy (no corrections) (eV for the cell shown) = -39.458
- excess energy over the best structure of this formula in the dataset (meV per atom) = 0

2.
NiTe3S | PBE | relaxed

Cell lengths 4.9762, 4.9762, 4.9762 Å; angles 90.00, 90.00, 90.00 degrees
Space group Pm-3m (No. 221)
Symmetry-distinct sites (fractional):
Ni: 0.0000 0.0000 0.0000 [1 per cell]
Te: 0.0000 0.0000 0.5000 [3 per cell]
S: 0.5000 0.5000 0.5000 [1 per cell]

Results
- volume (Å³/f.u.) = 123.22
- total DFT energy (no corrections) (eV for the cell shown) = -16.638
- excess energy over the best structure of this formula in the dataset (meV per atom) = 0

3.
Ni2TeS | PBE | relaxed

Cell lengths 3.5629, 3.5629, 17.7272 Å; angles 90.00, 90.00, 120.00 degrees
Space group R3m (No. 160, hexagonal axes)
Symmetry-distinct sites (fractional):
Ni: 0.0000 0.0000 0.0000 [3 per cell]
Ni: 0.0000 0.0000 0.2027 [3 per cell]
Te: 0.0000 0.0000 0.7719 [3 per cell]
S: 0.0000 0.0000 0.5983 [3 per cell]

Results
- volume (Å³/f.u.) = 64.96
- total DFT energy (no corrections) (eV for the cell shown) = -56.297
- excess energy over the best structure of this formula in the dataset (meV per atom) = 260

Number 1: Fermi-level density of states 6.54 states/eV/cell. Number 2: Fermi-level density of states 6.55 states/eV/cell. Number 3: Fermi-level density of states 8.67 states/eV/cell.